[1]
This record from Alexandria describes a relaxed Ba3Pm crystal. The functional is GGA-PBE.

a b c (Å): 8.4500 8.4500 6.7601
angles (deg): 90.00 90.00 120.00
Last column: nearest neighbours and their distance in Å.
Atoms (fractional coordinates):
Pm 0.6667 0.3333 0.2500  12 Ba 4.12-4.23
Ba 0.8281 0.1719 0.7500  8 Ba 4.09-4.36, 4 Pm 4.12-4.23
Ba 0.3439 0.1719 0.7500  8 Ba 4.09-4.36, 4 Pm 4.12-4.23
Ba 0.1719 0.8281 0.2500  8 Ba 4.09-4.36, 4 Pm 4.12-4.23
Pm 0.3333 0.6667 0.7500  12 Ba 4.12-4.23
Ba 0.1719 0.3439 0.2500  8 Ba 4.09-4.36, 4 Pm 4.12-4.23
Ba 0.8281 0.6561 0.7500  8 Ba 4.09-4.36, 4 Pm 4.12-4.23
Ba 0.6561 0.8281 0.2500  8 Ba 4.09-4.36, 4 Pm 4.12-4.23

N(E_F)   12.29 states/eV per cell
SG   P6_3/mmc (194)
Uncorrected energy   -2.437 eV/atom
Formation energy from the elements   0.192 eV/atom

=====

[2]
This record from Alexandria describes a relaxed Na2CeTl3 crystal. The functional is GGA-PBE.

a b c (Å): 3.7387 3.7387 12.1628
angles (deg): 90.00 90.00 90.00
Last column: nearest neighbours and their distance in Å.
Atoms (fractional coordinates):
Tl 0.0000 0.0000 0.0000  8 Na 3.32
Ce 0.5000 0.5000 0.5000  8 Tl 3.38, 4 Ce 3.74
Tl 0.0000 0.0000 0.3268  4 Na 3.29, 4 Ce 3.38
Na 0.5000 0.5000 0.1655  8 Tl 3.29-3.32
Tl 0.0000 0.0000 0.6732  4 Na 3.29, 4 Ce 3.38
Na 0.5000 0.5000 0.8345  8 Tl 3.29-3.32

N(E_F)   9.06 states/eV per cell
SG   P4/mmm (123)
Uncorrected energy   -2.746 eV/atom
Formation energy from the elements   -0.134 eV/atom

=====

[3]
This record from Alexandria describes a relaxed CdIr3 crystal. The functional is GGA-PBE.

a b c (Å): 2.7649 5.2355 5.2355
angles (deg): 116.97 79.86 79.86
Last column: nearest neighbours and their distance in Å.
Atoms (fractional coordinates):
Ir 0.5000 0.5000 0.0000  6 Ir 2.74-2.76, 2 Cd 2.74
Ir 0.0000 0.5000 0.5000  2 Cd 2.74, 6 Ir 2.74-2.76
Ir 0.5000 0.0000 0.5000  6 Ir 2.74-2.76, 2 Cd 2.74
Cd 0.0000 0.0000 0.0000  6 Ir 2.74, 2 Cd 2.76

N(E_F)   5.43 states/eV per cell
SG   R-3m (166)
Uncorrected energy   -6.383 eV/atom
Formation energy from the elements   0.492 eV/atom